The following is a PBE-GGA calculation of a relaxed Tl2AgBi2 crystal, from Alexandria via LeMat-Bulk. Values from VASP.

Calculated values
Its total energy is -2.784 eV/atom. Its formation energy is 1.424 eV/f.u.

Cell and atoms, written as Quantum ESPRESSO input:
```
&SYSTEM
  ibrav = 0, nat = 5, ntyp = 3
/
ATOMIC_SPECIES
Tl 204.38 Tl.upf
Bi 208.98 Bi.upf
Ag 107.87 Ag.upf
CELL_PARAMETERS angstrom
4.272 0.000 0.000
0.000 4.272 0.000
2.136 2.136 8.620
ATOMIC_POSITIONS crystal
Tl 0.750 0.250 0.500
Tl 0.250 0.750 0.500
Bi 0.586 0.586 0.828
Bi 0.414 0.414 0.172
Ag 0.000 0.000 0.000
```


The following is a PBE-GGA calculation of a relaxed TlAgBi crystal, from Alexandria via LeMat-Bulk. Values from VASP.

Calculated values
Its total energy is -2.919 eV/atom. Its formation energy is 0.342 eV/f.u.

Cell and atoms, written as Quantum ESPRESSO input:
```
&SYSTEM
  ibrav = 0, nat = 3, ntyp = 3
/
ATOMIC_SPECIES
Bi 208.98 Bi.upf
Tl 204.38 Tl.upf
Ag 107.87 Ag.upf
CELL_PARAMETERS angstrom
4.967 0.000 0.000
2.484 4.302 0.000
2.484 1.434 4.056
ATOMIC_POSITIONS crystal
Bi 0.500 0.500 0.500
Tl 0.000 0.000 0.000
Ag 0.250 0.250 0.250
```


The following is a PBE-GGA calculation of a relaxed Tl2AgBi2 crystal, from Alexandria via LeMat-Bulk. Values from VASP.

Calculated values
Its total energy is -3.008 eV/atom. Its formation energy is 0.305 eV/f.u.

Cell and atoms, written as Quantum ESPRESSO input:
```
&SYSTEM
  ibrav = 0, nat = 10, ntyp = 3
/
ATOMIC_SPECIES
Ag 107.87 Ag.upf
Bi 208.98 Bi.upf
Tl 204.38 Tl.upf
CELL_PARAMETERS angstrom
-4.577 4.539 -4.041
0.647 -4.666 -5.974
-4.374 -2.850 1.753
ATOMIC_POSITIONS crystal
Ag 0.000 0.000 0.000
Ag 0.500 0.500 0.000
Bi 0.854 0.646 0.000
Bi 0.646 0.146 0.000
Bi 0.146 0.354 0.000
Bi 0.354 0.854 0.000
Tl 0.166 0.666 0.500
Tl 0.666 0.834 0.500
Tl 0.334 0.166 0.500
Tl 0.834 0.334 0.500
```


The following is a PBE-GGA calculation of a relaxed TlAg2Bi2 crystal, from Alexandria via LeMat-Bulk. Values from VASP.

Calculated values
Its total energy is -3.059 eV/atom. Its formation energy is 0.538 eV/f.u.

Cell and atoms, written as Quantum ESPRESSO input:
```
&SYSTEM
  ibrav = 0, nat = 5, ntyp = 3
/
ATOMIC_SPECIES
Ag 107.87 Ag.upf
Tl 204.38 Tl.upf
Bi 208.98 Bi.upf
CELL_PARAMETERS angstrom
-2.705 -0.900 -3.900
-1.111 -4.353 1.775
-6.959 -0.141 1.869
ATOMIC_POSITIONS crystal
Ag 0.750 0.250 0.500
Ag 0.250 0.750 0.500
Tl 0.000 0.000 0.000
Bi 0.619 0.619 0.761
Bi 0.381 0.381 0.239
```


The following is a PBE-GGA calculation of a relaxed TlAg4Bi crystal, from Alexandria via LeMat-Bulk. Values from VASP.

Calculated values
Its total energy is -2.880 eV/atom. Its formation energy is 0.374 eV/f.u.

Cell and atoms, written as Quantum ESPRESSO input:
```
&SYSTEM
  ibrav = 0, nat = 6, ntyp = 3
/
ATOMIC_SPECIES
Bi 208.98 Bi.upf
Tl 204.38 Tl.upf
Ag 107.87 Ag.upf
CELL_PARAMETERS angstrom
-2.146 1.448 -5.112
-5.524 -0.973 -1.168
-3.654 4.393 -0.433
ATOMIC_POSITIONS crystal
Bi 0.250 0.250 0.250
Tl 0.000 0.000 0.000
Ag 0.125 0.625 0.625
Ag 0.625 0.625 0.125
Ag 0.625 0.125 0.625
Ag 0.625 0.625 0.625
```


The following is a PBE-GGA calculation of a relaxed TlAg2Bi2 crystal, from Alexandria via LeMat-Bulk. Values from VASP.

Calculated values
Its total energy is -3.082 eV/atom. Its formation energy is 0.422 eV/f.u.

Cell and atoms, written as Quantum ESPRESSO input:
```
&SYSTEM
  ibrav = 0, nat = 10, ntyp = 3
/
ATOMIC_SPECIES
Ag 107.87 Ag.upf
Bi 208.98 Bi.upf
Tl 204.38 Tl.upf
CELL_PARAMETERS angstrom
-5.829 2.046 6.540
-2.728 -8.569 0.250
2.318 -0.672 2.276
ATOMIC_POSITIONS crystal
Ag 0.355 0.855 0.000
Ag 0.645 0.145 0.000
Ag 0.145 0.355 0.000
Ag 0.855 0.645 0.000
Bi 0.848 0.348 0.500
Bi 0.652 0.848 0.500
Bi 0.348 0.152 0.500
Bi 0.152 0.652 0.500
Tl 0.500 0.500 0.000
Tl 0.000 0.000 0.000
```


The following is a PBE-GGA calculation of a relaxed TlAg4Bi2 crystal, from Alexandria via LeMat-Bulk. Values from VASP.

Calculated values
Its total energy is -2.592 eV/atom. Its formation energy is 3.386 eV/f.u.

Cell and atoms, written as Quantum ESPRESSO input:
```
&SYSTEM
  ibrav = 0, nat = 7, ntyp = 3
/
ATOMIC_SPECIES
Tl 204.38 Tl.upf
Ag 107.87 Ag.upf
Bi 208.98 Bi.upf
CELL_PARAMETERS angstrom
5.320 0.000 0.000
0.000 5.320 0.000
2.660 2.660 7.358
ATOMIC_POSITIONS crystal
Tl 0.000 0.000 0.000
Ag 0.808 0.808 0.384
Ag 0.192 0.192 0.616
Ag 0.000 0.500 0.000
Ag 0.500 0.000 0.000
Bi 0.382 0.382 0.235
Bi 0.618 0.618 0.765
```


The following is a PBE-GGA calculation of a relaxed TlAgBi crystal, from Alexandria via LeMat-Bulk. Values from VASP.

Calculated values
Its total energy is -2.956 eV/atom. Its formation energy is 0.230 eV/f.u.

Cell and atoms, written as Quantum ESPRESSO input:
```
&SYSTEM
  ibrav = 0, nat = 3, ntyp = 3
/
ATOMIC_SPECIES
Ag 107.87 Ag.upf
Tl 204.38 Tl.upf
Bi 208.98 Bi.upf
CELL_PARAMETERS angstrom
-2.374 1.573 2.205
1.760 -2.868 3.941
2.131 4.617 -0.999
ATOMIC_POSITIONS crystal
Ag 0.168 0.000 0.000
Tl 0.666 0.667 0.333
Bi 0.167 0.333 0.667
```


The following is a PBE-GGA calculation of a relaxed Tl2AgBi2 crystal, from Alexandria via LeMat-Bulk. Values from VASP.

Calculated values
Its total energy is -2.849 eV/atom. Its formation energy is 1.101 eV/f.u.

Cell and atoms, written as Quantum ESPRESSO input:
```
&SYSTEM
  ibrav = 0, nat = 10, ntyp = 3
/
ATOMIC_SPECIES
Tl 204.38 Tl.upf
Ag 107.87 Ag.upf
Bi 208.98 Bi.upf
CELL_PARAMETERS angstrom
-4.817 4.098 4.264
-5.327 -5.394 -0.835
1.781 -2.433 4.350
ATOMIC_POSITIONS crystal
Tl 0.341 0.841 0.000
Tl 0.841 0.659 0.000
Tl 0.159 0.341 0.000
Tl 0.659 0.159 0.000
Ag 0.500 0.500 0.000
Ag 0.000 0.000 0.000
Bi 0.643 0.857 0.500
Bi 0.357 0.143 0.500
Bi 0.143 0.643 0.500
Bi 0.857 0.357 0.500
```


The following is a PBE-GGA calculation of a relaxed TlAg2Bi2 crystal, from Alexandria via LeMat-Bulk. Values from VASP.

Calculated values
Its total energy is -3.053 eV/atom. Its formation energy is 0.568 eV/f.u.

Cell and atoms, written as Quantum ESPRESSO input:
```
&SYSTEM
  ibrav = 0, nat = 10, ntyp = 3
/
ATOMIC_SPECIES
Ag 107.87 Ag.upf
Bi 208.98 Bi.upf
Tl 204.38 Tl.upf
CELL_PARAMETERS angstrom
9.134 0.000 0.000
0.000 9.134 0.000
0.000 0.000 3.252
ATOMIC_POSITIONS crystal
Ag 0.157 0.657 0.500
Ag 0.657 0.843 0.500
Ag 0.343 0.157 0.500
Ag 0.843 0.343 0.500
Bi 0.860 0.640 0.000
Bi 0.640 0.140 0.000
Bi 0.360 0.860 0.000
Bi 0.140 0.360 0.000
Tl 0.500 0.500 0.000
Tl 0.000 0.000 0.000
```


The following is a PBE-GGA calculation of a relaxed TmAg4Bi crystal, from Alexandria via LeMat-Bulk. Values from VASP.

Calculated values
Its total energy is -3.446 eV/atom. Its formation energy is -0.918 eV/f.u.

Cell and atoms, written as Quantum ESPRESSO input:
```
&SYSTEM
  ibrav = 0, nat = 6, ntyp = 3
/
ATOMIC_SPECIES
Ag 107.87 Ag.upf
Bi 208.98 Bi.upf
Tm 168.93 Tm.upf
CELL_PARAMETERS angstrom
5.685 0.000 0.000
2.842 4.923 0.000
2.842 1.641 4.642
ATOMIC_POSITIONS crystal
Ag 0.626 0.626 0.626
Ag 0.123 0.626 0.626
Ag 0.626 0.123 0.626
Ag 0.626 0.626 0.123
Bi 0.250 0.250 0.250
Tm 0.000 0.000 0.000
```


The following is a PBE-GGA calculation of a relaxed TmAg2Bi2 crystal, from Alexandria via LeMat-Bulk. Values from VASP.

Calculated values
Its total energy is -3.869 eV/atom. Its formation energy is -1.410 eV/f.u.

Cell and atoms, written as Quantum ESPRESSO input:
```
&SYSTEM
  ibrav = 0, nat = 10, ntyp = 3
/
ATOMIC_SPECIES
Ag 107.87 Ag.upf
Bi 208.98 Bi.upf
Tm 168.93 Tm.upf
CELL_PARAMETERS angstrom
-3.340 0.797 -3.071
-3.112 0.018 3.390
3.181 11.038 2.861
ATOMIC_POSITIONS crystal
Ag 0.463 0.750 0.925
Ag 0.962 0.250 0.924
Ag 0.038 0.750 0.076
Ag 0.537 0.250 0.075
Bi 0.250 0.750 0.499
Bi 0.750 0.250 0.501
Bi 0.880 0.750 0.759
Bi 0.120 0.250 0.241
Tm 0.357 0.250 0.714
Tm 0.643 0.750 0.286
```